(1)
Entry from Alexandria: a relaxed AsIr3 crystal (GGA-PBEsol).

Properties
Excess energy over the best structure of this formula in the dataset: 0 meV/atom
Energy of formation from the pure elements: 0.156 eV/atom
Size of the total moment: 0.0 μB per formula unit
Space group: No. 65

Geometry as POSCAR:
```
AsIr3
1.0
2.7893 0.0000 0.0000
0.0000 4.6692 0.0039
0.0000 -1.4503 4.4382
Ir As
3 1
direct
0.0000 0.5000 0.5000 Ir
0.5000 0.0000 0.5000 Ir
0.5000 0.5000 0.0000 Ir
0.0000 0.0000 0.0000 As
```

(2)
Entry from Alexandria: a relaxed RbIr3N crystal (GGA-PBEsol).

Properties
Raw formation energy: 1.235 eV per atom
Size of the total moment: 0.0 μB per formula unit
Space group: No. 221

Geometry as POSCAR:
```
RbIr3N
1.0
-3.7041 0.7934 1.8870
1.8035 -0.5806 3.7843
0.9683 4.1163 0.1701
Ir Rb N
3 1 1
direct
0.0000 0.0000 0.5000 Ir
0.0000 0.5000 0.0000 Ir
0.5000 0.0000 0.0000 Ir
0.5000 0.5000 0.5000 Rb
0.0000 0.0000 0.0000 N
```

(3)
Entry from Alexandria: a relaxed Li2CuSi2 crystal (GGA-PBEsol).

Properties
Raw formation energy: -0.202 eV per atom
Size of the total moment: 0.0 μB per formula unit
Space group: No. 127

Geometry as POSCAR:
```
Li2CuSi2
1.0
4.1065 0.0000 0.0000
0.0000 5.9536 0.0000
0.0000 0.0000 5.9536
Cu Li Si
2 4 4
direct
0.0000 0.5000 0.5000 Cu
0.0000 0.0000 0.0000 Cu
0.5000 0.8360 0.3360 Li
0.5000 0.6640 0.8360 Li
0.5000 0.3360 0.1640 Li
0.5000 0.1640 0.6640 Li
0.0000 0.1383 0.3617 Si
0.0000 0.6383 0.1383 Si
0.0000 0.8617 0.6383 Si
0.0000 0.3617 0.8617 Si
```